No. 1
DFT (GGA-PBE) results for crystalline BaLa2Fe at its relaxed geometry.

Values from the calculation:
The energy above the most stable polymorph in this dataset is 0.471 eV/atom. The calculation puts the energy of formation from the pure elements at 633.3 meV/atom. The calculation puts the total magnetic moment at 2.3 μB per formula unit.

Cell lengths 6.9322, 6.9322, 3.6769 Å; angles 103.75, 103.75, 121.26 degrees
Fractional positions:
Ba 0.0000 0.0000 0.0000
La 0.0000 0.5000 0.5000
La 0.5000 0.0000 0.5000
Fe 0.5000 0.5000 0.0000



No. 2
DFT (GGA-PBE) results for crystalline Nd8ZnSe3I4 at its relaxed geometry.

Values from the calculation:
Its formation energy from raw total energies is -1.17 eV/atom. The calculation puts the total magnetic moment at 0.0 μB per formula unit.

Cell lengths 9.1539, 9.1539, 9.1539 Å; angles 56.20, 56.20, 56.20 degrees
Fractional positions:
Nd 0.2308 0.2308 0.2308
Nd 0.2366 0.7304 0.7304
Nd 0.2696 0.2696 0.7634
Nd 0.2696 0.7634 0.2696
Nd 0.7304 0.2366 0.7304
Nd 0.7304 0.7304 0.2366
Nd 0.7634 0.2696 0.2696
Nd 0.7692 0.7692 0.7692
Zn 0.5000 0.5000 0.5000
Se 0.0000 0.0000 0.5000
Se 0.0000 0.5000 0.0000
Se 0.5000 0.0000 0.0000
I 0.0000 0.0000 0.0000
I 0.0000 0.5000 0.5000
I 0.5000 0.0000 0.5000
I 0.5000 0.5000 0.0000



No. 3
DFT (GGA-PBE) results for crystalline Sc2TaAu at its relaxed geometry.

Values from the calculation:
The energy above the most stable polymorph in this dataset is 0.183 eV/atom. The calculation puts the energy of formation from the pure elements at -115.6 meV/atom. The calculation puts the total magnetic moment at 0.0 μB per formula unit.

Cell lengths 4.3875, 4.3875, 4.0790 Å; angles 90.00, 90.00, 90.00 degrees
Fractional positions:
Sc 0.0000 0.5000 0.0000
Sc 0.5000 0.0000 0.0000
Ta 0.0000 0.0000 0.5000
Au 0.5000 0.5000 0.5000



No. 4
DFT (GGA-PBE) results for crystalline BaPt2C at its relaxed geometry.

Values from the calculation:
The calculation puts the energy of formation from the pure elements at -185.2 meV/atom. The calculation puts the total magnetic moment at 0.0 μB per formula unit.

Cell lengths 7.3039, 7.3039, 7.3039 Å; angles 136.72, 136.72, 62.87 degrees
Fractional positions:
Ba 0.3750 0.6250 0.7500
Ba 0.6250 0.3750 0.2500
Pt 0.0000 0.0000 0.0000
Pt 0.0000 0.0000 0.5000
Pt 0.0000 0.5000 0.0000
Pt 0.5000 0.0000 0.5000
C 0.1250 0.8750 0.2500
C 0.8750 0.1250 0.7500